# 1
An optimized crystal structure of Na6SbF12, computed with GGA-PBE.

Calculated values
Crystal system ... trigonal
Density of states at the Fermi level ... 0.646 states/eV/atom
Space-group type ... R-3, No. 148
E_tot ... -81.4 eV for the cell shown
Volume ... 290.36 Å³ per cell

POSCAR file:
```
Na6SbF12
1.0
5.102 2.946 3.220
-5.102 2.946 3.220
0.000 -5.891 3.220
Na Sb F
6 1 12
direct
0.101 0.655 0.850 Na
0.150 0.899 0.345 Na
0.345 0.150 0.899 Na
0.655 0.850 0.101 Na
0.850 0.101 0.655 Na
0.899 0.345 0.150 Na
0.500 0.500 0.500 Sb
0.089 0.330 0.897 F
0.103 0.911 0.670 F
0.222 0.529 0.409 F
0.330 0.897 0.089 F
0.409 0.222 0.529 F
0.471 0.591 0.778 F
0.529 0.409 0.222 F
0.591 0.778 0.471 F
0.670 0.103 0.911 F
0.778 0.471 0.591 F
0.897 0.089 0.330 F
0.911 0.670 0.103 F
```



# 2
An optimized crystal structure of NaSb2F6, computed with GGA-PBE.

Calculated values
Crystal system ... tetragonal
Density of states at the Fermi level ... 0.138 states/eV/atom
Space-group type ... P4_2/mnm, No. 136
E_tot ... -79.7 eV for the cell shown
Volume ... 308.94 Å³ per cell

POSCAR file:
```
NaSb2F6
1.0
5.636 0.000 0.000
0.000 5.636 0.000
0.000 0.000 9.726
Na Sb F
2 4 12
direct
0.000 0.000 0.000 Na
0.500 0.500 0.500 Na
0.000 0.000 0.342 Sb
0.000 0.000 0.658 Sb
0.500 0.500 0.158 Sb
0.500 0.500 0.842 Sb
0.223 0.223 0.175 F
0.223 0.223 0.825 F
0.226 0.226 0.500 F
0.274 0.726 0.000 F
0.277 0.723 0.325 F
0.277 0.723 0.675 F
0.723 0.277 0.325 F
0.723 0.277 0.675 F
0.726 0.274 0.000 F
0.774 0.774 0.500 F
0.777 0.777 0.175 F
0.777 0.777 0.825 F
```



# 3
An optimized crystal structure of Na3SbF6, computed with GGA-PBE.

Calculated values
E above lowest polymorph ... 107 meV/atom
Crystal system ... triclinic
Density of states at the Fermi level ... 0.000 states/eV/atom
Space-group type ... P-1, No. 2
Volume ... 171.96 Å³ per cell

POSCAR file:
```
Na3SbF6
1.0
4.527 0.000 0.000
0.159 6.537 0.000
1.845 2.929 5.810
Na Sb F
3 1 6
direct
0.000 0.000 0.000 Na
0.000 0.500 0.000 Na
0.500 0.000 0.500 Na
0.000 0.500 0.500 Sb
0.082 0.744 0.636 F
0.260 0.691 0.119 F
0.306 0.244 0.646 F
0.694 0.756 0.354 F
0.740 0.309 0.881 F
0.918 0.256 0.364 F
```



# 4
An optimized crystal structure of NaSbF3, computed with GGA-PBE.

Calculated values
E above lowest polymorph ... 401 meV/atom
Crystal system ... cubic
Density of states at the Fermi level ... 0.462 states/eV/atom
Space-group type ... Pm-3m, No. 221
Volume ... 70.53 Å³ per cell

POSCAR file:
```
NaSbF3
1.0
4.132 0.000 0.000
0.000 4.132 0.000
0.000 0.000 4.132
Na Sb F
1 1 3
direct
0.000 0.000 0.000 Na
0.500 0.500 0.500 Sb
0.000 0.000 0.500 F
0.000 0.500 0.000 F
0.500 0.000 0.000 F
```



# 5
An optimized crystal structure of NaSbF2, computed with GGA-PBE.

Calculated values
E above lowest polymorph ... 475 meV/atom
Crystal system ... tetragonal
Density of states at the Fermi level ... 0.294 states/eV/atom
Space-group type ... I-42d, No. 122
Volume ... 149.22 Å³ per cell

POSCAR file:
```
NaSbF2
1.0
-2.922 2.922 4.369
2.922 -2.922 4.369
2.922 2.922 -4.369
Na Sb F
2 2 4
direct
0.000 0.000 0.000 Na
0.750 0.250 0.500 Na
0.250 0.750 0.500 Sb
0.500 0.500 0.000 Sb
0.073 0.625 0.948 F
0.375 0.323 0.448 F
0.677 0.125 0.052 F
0.875 0.927 0.552 F
```



# 6
An optimized crystal structure of Na2SbF, computed with GGA-PBE.

Calculated values
E above lowest polymorph ... 80 meV/atom
Crystal system ... tetragonal
Density of states at the Fermi level ... 0.259 states/eV/atom
Space-group type ... P4/mmm, No. 123
Volume ... 77.07 Å³ per cell

POSCAR file:
```
Na2SbF
1.0
3.146 0.000 0.000
0.000 3.146 0.000
0.000 0.000 7.785
Na Sb F
2 1 1
direct
0.000 0.000 0.182 Na
0.000 0.000 0.818 Na
0.500 0.500 0.500 Sb
0.500 0.500 0.000 F
```



# 7
An optimized crystal structure of NaSbF6, computed with GGA-PBE.

Calculated values
Crystal system ... cubic
Density of states at the Fermi level ... 0.000 states/eV/atom
Space-group type ... Fm-3m, No. 225
E_tot ... -37.1 eV for the cell shown
Volume ... 150.50 Å³ per cell

POSCAR file:
```
NaSbF6
1.0
0.000 4.222 4.222
4.222 0.000 4.222
4.222 4.222 0.000
Na Sb F
1 1 6
direct
0.000 0.000 0.000 Na
0.500 0.500 0.500 Sb
0.273 0.273 0.727 F
0.273 0.727 0.273 F
0.273 0.727 0.727 F
0.727 0.273 0.273 F
0.727 0.273 0.727 F
0.727 0.727 0.273 F
```



# 8
An optimized crystal structure of NaSbF6, computed with GGA-PBE.

Calculated values
Crystal system ... trigonal
Density of states at the Fermi level ... 0.000 states/eV/atom
Space-group type ... P-31c, No. 163
E_tot ... -74.0 eV for the cell shown
Volume ... 260.66 Å³ per cell

POSCAR file:
```
NaSbF6
1.0
5.431 0.000 0.000
-2.716 4.704 0.000
0.000 0.000 10.203
Na Sb F
2 2 12
direct
0.333 0.667 0.250 Na
0.667 0.333 0.750 Na
0.000 0.000 0.000 Sb
0.000 0.000 0.500 Sb
0.029 0.301 0.109 F
0.029 0.728 0.391 F
0.272 0.301 0.391 F
0.272 0.971 0.109 F
0.301 0.029 0.609 F
0.301 0.272 0.891 F
0.699 0.728 0.109 F
0.699 0.971 0.391 F
0.728 0.029 0.891 F
0.728 0.699 0.609 F
0.971 0.272 0.609 F
0.971 0.699 0.891 F
```



# 9
An optimized crystal structure of Na3SbF6, computed with GGA-PBE.

Calculated values
E above lowest polymorph ... 139 meV/atom
Crystal system ... cubic
Density of states at the Fermi level ... 0.000 states/eV/atom
Space-group type ... Fm-3m, No. 225
Volume ... 169.61 Å³ per cell

POSCAR file:
```
Na3SbF6
1.0
0.000 4.393 4.393
4.393 0.000 4.393
4.393 4.393 0.000
Na Sb F
3 1 6
direct
0.000 0.000 0.000 Na
0.250 0.250 0.250 Na
0.750 0.750 0.750 Na
0.500 0.500 0.500 Sb
0.252 0.252 0.748 F
0.252 0.748 0.252 F
0.252 0.748 0.748 F
0.748 0.252 0.252 F
0.748 0.252 0.748 F
0.748 0.748 0.252 F
```



# 10
An optimized crystal structure of Na2SbF2, computed with GGA-PBE.

Calculated values
E above lowest polymorph ... 0 meV/atom
Crystal system ... tetragonal
Density of states at the Fermi level ... 0.326 states/eV/atom
Space-group type ... P4/mbm, No. 127
Volume ... 175.60 Å³ per cell

POSCAR file:
```
Na2SbF2
1.0
7.693 0.000 0.000
0.000 7.693 0.000
0.000 0.000 2.967
Na Sb F
4 2 4
direct
0.122 0.378 0.000 Na
0.378 0.878 0.000 Na
0.622 0.122 0.000 Na
0.878 0.622 0.000 Na
0.000 0.000 0.500 Sb
0.500 0.500 0.500 Sb
0.125 0.625 0.500 F
0.375 0.125 0.500 F
0.625 0.875 0.500 F
0.875 0.375 0.500 F
```



# 11
An optimized crystal structure of Na3SbF6, computed with GGA-PBE.

Calculated values
E above lowest polymorph ... 0 meV/atom
Crystal system ... monoclinic
Density of states at the Fermi level ... 0.000 states/eV/atom
Space-group type ... P2_1/c, No. 14
Volume ... 300.88 Å³ per cell

POSCAR file:
```
Na3SbF6
1.0
5.865 0.000 0.000
0.000 5.994 0.000
-5.682 0.000 8.559
Na Sb F
6 2 12
direct
0.000 0.000 0.000 Na
0.000 0.500 0.500 Na
0.219 0.050 0.729 Na
0.219 0.450 0.229 Na
0.781 0.550 0.771 Na
0.781 0.950 0.271 Na
0.500 0.000 0.500 Sb
0.500 0.500 0.000 Sb
0.132 0.176 0.452 F
0.132 0.324 0.952 F
0.229 0.702 0.407 F
0.229 0.798 0.907 F
0.399 0.088 0.264 F
0.399 0.412 0.764 F
0.601 0.588 0.236 F
0.601 0.912 0.736 F
0.771 0.202 0.093 F
0.771 0.298 0.593 F
0.868 0.676 0.048 F
0.868 0.824 0.548 F
```



# 12
An optimized crystal structure of NaSbF2, computed with GGA-PBE.

Calculated values
E above lowest polymorph ... 818 meV/atom
Crystal system ... cubic
Density of states at the Fermi level ... 0.074 states/eV/atom
Space-group type ... Fm-3m, No. 225
Volume ... 66.31 Å³ per cell

POSCAR file:
```
NaSbF2
1.0
0.000 3.213 3.213
3.213 0.000 3.213
3.213 3.213 0.000
Na Sb F
1 1 2
direct
0.000 0.000 0.000 Na
0.500 0.500 0.500 Sb
0.250 0.250 0.250 F
0.750 0.750 0.750 F
```